(1)
A geometry-optimized InGeNF2 structure, computed with GGA-PBEsol.

Cell lengths 3.4656, 4.3953, 4.3953 Å; angles 90.00, 90.00, 90.00 degrees
Last column: nearest neighbours and their distance in Å.
Fractional coordinates of all 5 atoms:
1 N 0.5000 0.0000 0.0000  2 Ge 1.73
2 Ge 0.0000 0.0000 0.0000  2 N 1.73
3 F 0.0000 0.0000 0.5000  2 Ge 2.20
4 F 0.0000 0.5000 0.0000  2 Ge 2.20
5 In 0.5000 0.5000 0.5000  8 F 2.80, 4 N 3.11

Properties
DFT total energy   -4.917 eV/atom
Total magnetic moment   0.000 μB per formula unit
Formation energy without anion corrections   -0.857 eV/atom

(2)
A geometry-optimized InGeO2F structure, computed with GGA-PBEsol.

Cell lengths 3.8095, 3.8095, 4.2212 Å; angles 90.00, 90.00, 90.00 degrees
Last column: nearest neighbours and their distance in Å.
Fractional coordinates of all 5 atoms:
1 Ge 0.0000 0.0000 0.0000  4 O 1.90, 2 F 2.11
2 F 0.0000 0.0000 0.5000  2 Ge 2.11
3 O 0.0000 0.5000 0.0000  2 Ge 1.90
4 O 0.5000 0.0000 0.0000  2 Ge 1.90
5 In 0.5000 0.5000 0.5000  4 F 2.69, 8 O 2.84

Properties
DFT total energy   -5.333 eV/atom
Total magnetic moment   0.000 μB per formula unit
Formation energy without anion corrections   -1.264 eV/atom

(3)
A geometry-optimized GeIr2PdF structure, computed with GGA-PBEsol.

Cell lengths 4.5411, 4.5411, 4.5860 Å; angles 90.00, 90.00, 90.00 degrees
Last column: nearest neighbours and their distance in Å.
Fractional coordinates of all 5 atoms:
1 Ge 0.0000 0.0000 0.0000  4 Ir 2.27, 2 Pd 2.29
2 Ir 0.0000 0.5000 0.0000  2 Ge 2.27
3 Ir 0.5000 0.0000 0.0000  2 Ge 2.27
4 Pd 0.0000 0.0000 0.5000  2 Ge 2.29
5 F 0.5000 0.5000 0.5000  4 Pd 3.21, 8 Ir 3.23

Properties
DFT total energy   -5.292 eV/atom
Total magnetic moment   2.287 μB per formula unit
Formation energy without anion corrections   1.202 eV/atom

(4)
A geometry-optimized K2GeF6 structure, computed with GGA-PBEsol.

Cell lengths 4.6423, 5.6095, 5.6095 Å; angles 120.00, 90.00, 90.00 degrees
Last column: nearest neighbours and their distance in Å.
Fractional coordinates of all 9 atoms:
1 K 0.2972 0.6667 0.3333  12 F 2.83-2.96
2 K 0.7028 0.3333 0.6667  12 F 2.83-2.96
3 Ge 0.0000 0.0000 0.0000  6 F 1.82
4 F 0.2197 0.1550 0.3101  1 Ge 1.82
5 F 0.2197 0.1550 0.8450  1 Ge 1.82
6 F 0.2197 0.6899 0.8450  1 Ge 1.82
7 F 0.7803 0.8450 0.6899  1 Ge 1.82
8 F 0.7803 0.8450 0.1550  1 Ge 1.82
9 F 0.7803 0.3101 0.1550  1 Ge 1.82

Properties
DFT total energy   -4.870 eV/atom
Total magnetic moment   0.002 μB per formula unit
Formation energy without anion corrections   -2.784 eV/atom

(5)
A geometry-optimized K2GeF6 structure, computed with GGA-PBEsol.

Cell lengths 5.7008, 5.7008, 9.2917 Å; angles 90.00, 90.00, 120.00 degrees
Last column: nearest neighbours and their distance in Å.
Fractional coordinates of all 18 atoms:
1 K 0.0000 0.0000 0.4030  12 F 2.79-3.06
2 K 0.0000 0.0000 0.9030  12 F 2.79-3.06
3 K 0.6667 0.3333 0.1268  12 F 2.81-2.90
4 K 0.3333 0.6667 0.6268  12 F 2.81-2.90
5 Ge 0.6667 0.3333 0.7428  6 F 1.82
6 Ge 0.3333 0.6667 0.2428  6 F 1.82
7 F 0.5173 0.4827 0.8576  1 Ge 1.82
8 F 0.4827 0.9654 0.3576  1 Ge 1.82
9 F 0.0346 0.5173 0.3576  1 Ge 1.82
10 F 0.9654 0.4827 0.8576  1 Ge 1.82
11 F 0.5173 0.0346 0.8576  1 Ge 1.82
12 F 0.4827 0.5173 0.3576  1 Ge 1.82
13 F 0.1801 0.8199 0.1349  1 Ge 1.82
14 F 0.8199 0.6399 0.6349  1 Ge 1.82
15 F 0.3601 0.1801 0.6349  1 Ge 1.82
16 F 0.6399 0.8199 0.1349  1 Ge 1.82
17 F 0.1801 0.3601 0.1349  1 Ge 1.82
18 F 0.8199 0.1801 0.6349  1 Ge 1.82

Properties
DFT total energy   -4.871 eV/atom
Total magnetic moment   0.003 μB per formula unit
Formation energy without anion corrections   -2.785 eV/atom

(6)
A geometry-optimized KGeNF2 structure, computed with GGA-PBEsol.

Cell lengths 4.5339, 4.5339, 4.7810 Å; angles 90.00, 90.00, 90.00 degrees
Last column: nearest neighbours and their distance in Å.
Fractional coordinates of all 5 atoms:
1 Ge 0.5000 0.5000 0.5000  4 N 3.21, 8 F 3.29
2 N 0.0000 0.0000 0.5000  2 K 2.39
3 K 0.0000 0.0000 0.0000  4 F 2.27, 2 N 2.39
4 F 0.0000 0.5000 0.0000  2 K 2.27
5 F 0.5000 0.0000 0.0000  2 K 2.27

Properties
DFT total energy   -3.508 eV/atom
Total magnetic moment   2.000 μB per formula unit
Formation energy without anion corrections   0.182 eV/atom

(7)
A geometry-optimized KGeO2F structure, computed with GGA-PBEsol.

Cell lengths 3.6893, 3.6893, 4.2149 Å; angles 90.00, 90.00, 90.00 degrees
Last column: nearest neighbours and their distance in Å.
Fractional coordinates of all 5 atoms:
1 Ge 0.0000 0.0000 0.0000  4 O 1.84
2 K 0.5000 0.5000 0.5000  4 F 2.61, 8 O 2.80
3 O 0.0000 0.5000 0.0000  2 Ge 1.84
4 O 0.5000 0.0000 0.0000  2 Ge 1.84
5 F 0.0000 0.0000 0.5000  2 Ge 2.11

Properties
DFT total energy   -5.553 eV/atom
Total magnetic moment   0.000 μB per formula unit
Formation energy without anion corrections   -1.853 eV/atom

(8)
A geometry-optimized KGeOs2F structure, computed with GGA-PBEsol.

Cell lengths 4.5896, 4.5896, 5.2710 Å; angles 90.00, 90.00, 90.00 degrees
Last column: nearest neighbours and their distance in Å.
Fractional coordinates of all 5 atoms:
1 Ge 0.0000 0.0000 0.0000  4 Os 2.29
2 Os 0.0000 0.5000 0.0000  2 Ge 2.29
3 Os 0.5000 0.0000 0.0000  2 Ge 2.29
4 K 0.5000 0.5000 0.5000  4 F 3.25, 8 Os 3.49
5 F 0.0000 0.0000 0.5000  2 Ge 2.64

Properties
DFT total energy   -5.486 eV/atom
Total magnetic moment   3.659 μB per formula unit
Formation energy without anion corrections   1.000 eV/atom

(9)
A geometry-optimized LiGeF2 structure, computed with GGA-PBEsol.

Cell lengths 4.1491, 4.1491, 4.1491 Å; angles 60.00, 60.00, 60.00 degrees
Last column: nearest neighbours and their distance in Å.
Fractional coordinates of all 4 atoms:
1 Ge 0.5000 0.5000 0.5000  8 F 2.54
2 Li 0.0000 0.0000 0.0000  8 F 2.54
3 F 0.2500 0.2500 0.2500  4 Ge 2.54, 4 Li 2.54
4 F 0.7500 0.7500 0.7500  4 Li 2.54, 4 Ge 2.54

Properties
DFT total energy   -4.064 eV/atom
Total magnetic moment   0.064 μB per formula unit
Formation energy without anion corrections   -1.374 eV/atom

(10)
A geometry-optimized LiGe3F structure, computed with GGA-PBEsol.

Cell lengths 4.5285, 4.5285, 4.5285 Å; angles 90.00, 90.00, 90.00 degrees
Last column: nearest neighbours and their distance in Å.
Fractional coordinates of all 5 atoms:
1 Ge 0.0000 0.5000 0.0000  2 F 2.26
2 Ge 0.0000 0.0000 0.5000  2 F 2.26
3 Ge 0.5000 0.0000 0.0000  2 F 2.26
4 Li 0.5000 0.5000 0.5000  12 Ge 3.20
5 F 0.0000 0.0000 0.0000  6 Ge 2.26

Properties
DFT total energy   -3.867 eV/atom
Total magnetic moment   0.000 μB per formula unit
Formation energy without anion corrections   -0.124 eV/atom

(11)
A geometry-optimized LiGeN2F structure, computed with GGA-PBEsol.

Cell lengths 3.6711, 3.6711, 4.1602 Å; angles 90.00, 90.00, 90.00 degrees
Last column: nearest neighbours and their distance in Å.
Fractional coordinates of all 5 atoms:
1 Ge 0.0000 0.0000 0.0000  4 N 1.84
2 N 0.0000 0.5000 0.0000  2 Ge 1.84
3 N 0.5000 0.0000 0.0000  2 Ge 1.84
4 Li 0.5000 0.5000 0.5000  4 F 2.60, 8 N 2.77
5 F 0.0000 0.0000 0.5000  2 Ge 2.08

Properties
DFT total energy   -5.303 eV/atom
Total magnetic moment   0.423 μB per formula unit
Formation energy without anion corrections   -0.126 eV/atom

(12)
A geometry-optimized Mg2GeF structure, computed with GGA-PBEsol.

Cell lengths 4.5452, 4.5452, 4.5452 Å; angles 60.00, 60.00, 60.00 degrees
Last column: nearest neighbours and their distance in Å.
Fractional coordinates of all 4 atoms:
1 Ge 0.5000 0.5000 0.5000  8 Mg 2.78
2 Mg 0.2500 0.2500 0.2500  4 Ge 2.78, 4 F 2.78
3 Mg 0.7500 0.7500 0.7500  4 Ge 2.78, 4 F 2.78
4 F 0.0000 0.0000 0.0000  8 Mg 2.78

Properties
DFT total energy   -3.386 eV/atom
Total magnetic moment   0.166 μB per formula unit
Formation energy without anion corrections   -0.811 eV/atom